w.
# Tb4Dy5, relaxed, DFT GGA-PBE
data_Tb4Dy5
_chemical_formula_sum 'Tb8 Dy10'
_symmetry_space_group_name_H-M 'C 1 2/m 1'
_symmetry_Int_Tables_number 12
_cell_length_a 11.748
_cell_length_b 10.630
_cell_length_c 5.001
_cell_angle_alpha 90.00
_cell_angle_beta 115.11
_cell_angle_gamma 90.00
loop_
_symmetry_equiv_pos_as_xyz
'x,y,z'
'-x,-y,-z'
'-x,y,-z'
'x,-y,z'
'x+1/2,y+1/2,z'
'-x+1/2,-y+1/2,-z'
'-x+1/2,y+1/2,-z'
'x+1/2,-y+1/2,z'
loop_
_atom_site_label
_atom_site_type_symbol
_atom_site_fract_x
_atom_site_fract_y
_atom_site_fract_z
_atom_site_occupancy
Tb1 Tb 0.167 0.167 0.167 1
Dy1 Dy 0.000 0.000 0.500 1
Dy2 Dy 0.000 0.333 0.500 1
Dy3 Dy 0.167 0.500 0.167 1
# calculated density	8.5	g cm⁻³



x.
# Tb4Dy5, relaxed, DFT GGA-PBE
data_Tb4Dy5
_chemical_formula_sum 'Tb8 Dy10'
_symmetry_space_group_name_H-M 'I m m m'
_symmetry_Int_Tables_number 71
_symmetry_space_group_name_Hall '-I 2 2'
_cell_length_a 3.608
_cell_length_b 12.068
_cell_length_c 13.028
_cell_angle_alpha 90.00
_cell_angle_beta 90.00
_cell_angle_gamma 90.00
loop_
_atom_site_label
_atom_site_type_symbol
_atom_site_fract_x
_atom_site_fract_y
_atom_site_fract_z
_atom_site_occupancy
Tb1 Tb 0.000 0.144 0.190 1
Dy1 Dy 0.000 0.207 0.500 1
Dy2 Dy 0.000 0.500 0.126 1
Dy3 Dy 0.000 0.500 0.500 1
# calculated density	8.5	g cm⁻³



Name the most stable of them. w.



w.
# Tb2Dy5, relaxed, DFT GGA-PBE
data_Tb2Dy5
_chemical_formula_sum 'Tb2 Dy5'
_symmetry_space_group_name_H-M 'P -1'
_symmetry_Int_Tables_number 2
_cell_length_a 3.534
_cell_length_b 7.921
_cell_length_c 8.672
_cell_angle_alpha 111.42
_cell_angle_beta 90.07
_cell_angle_gamma 102.86
loop_
_symmetry_equiv_pos_as_xyz
'x,y,z'
'-x,-y,-z'
loop_
_atom_site_label
_atom_site_type_symbol
_atom_site_fract_x
_atom_site_fract_y
_atom_site_fract_z
_atom_site_occupancy
Tb1 Tb 0.214 0.428 0.143 1
Dy1 Dy 0.071 0.142 0.714 1
Dy2 Dy 0.357 0.714 0.571 1
Dy3 Dy 0.500 0.000 0.000 1
# calculated density	8.6	g cm⁻³



x.
# Tb2Dy5, relaxed, DFT GGA-PBE
data_Tb2Dy5
_chemical_formula_sum 'Tb8 Dy20'
_symmetry_space_group_name_H-M 'C 1 2/c 1'
_symmetry_Int_Tables_number 15
_cell_length_a 15.637
_cell_length_b 6.259
_cell_length_c 9.169
_cell_angle_alpha 90.00
_cell_angle_beta 95.92
_cell_angle_gamma 90.00
loop_
_symmetry_equiv_pos_as_xyz
'x,y,z'
'-x,-y,-z'
'-x,y,-z+1/2'
'x,-y,z+1/2'
'x+1/2,y+1/2,z'
'-x+1/2,-y+1/2,-z'
'-x+1/2,y+1/2,-z+1/2'
'x+1/2,-y+1/2,z+1/2'
loop_
_atom_site_label
_atom_site_type_symbol
_atom_site_fract_x
_atom_site_fract_y
_atom_site_fract_z
_atom_site_occupancy
Tb1 Tb 0.072 0.167 0.107 1
Dy1 Dy 0.000 0.334 0.750 1
Dy2 Dy 0.143 0.334 0.464 1
Dy3 Dy 0.214 0.167 0.821 1
# calculated density	8.4	g cm⁻³



Name the most stable of them. x.



w.
# TbDyTe, relaxed, DFT GGA-PBE
data_TbDyTe
_chemical_formula_sum 'Tb1 Dy1 Te1'
_symmetry_space_group_name_H-M 'P 3 m 1'
_symmetry_Int_Tables_number 156
_cell_length_a 5.1568
_cell_length_b 5.1568
_cell_length_c 3.9979
_cell_angle_alpha 90.00
_cell_angle_beta 90.00
_cell_angle_gamma 120.00
loop_
_symmetry_equiv_pos_as_xyz
'x,y,z'
'-y,x-y,z'
'-x+y,-x,z'
'-y,-x,z'
'-x+y,y,z'
'x,x-y,z'
loop_
_atom_site_label
_atom_site_type_symbol
_atom_site_fract_x
_atom_site_fract_y
_atom_site_fract_z
_atom_site_occupancy
Tb1 Tb 0.0000 0.0000 0.0000 1
Dy1 Dy 0.3333 0.6667 0.5099 1
Te1 Te 0.6667 0.3333 0.7454 1
# calculated density	8.1	g cm⁻³



x.
# TbDyTe, relaxed, DFT GGA-PBE
data_TbDyTe
_chemical_formula_sum 'Tb2 Dy2 Te2'
_symmetry_space_group_name_H-M 'I 4 m m'
_symmetry_Int_Tables_number 107
_symmetry_space_group_name_Hall 'I 4 -2'
_cell_length_a 3.871
_cell_length_b 3.871
_cell_length_c 11.595
_cell_angle_alpha 90.00
_cell_angle_beta 90.00
_cell_angle_gamma 90.00
loop_
_atom_site_label
_atom_site_type_symbol
_atom_site_fract_x
_atom_site_fract_y
_atom_site_fract_z
_atom_site_occupancy
Tb1 Tb 0.000 0.000 0.000 1
Dy1 Dy 0.000 0.000 0.689 1
Te1 Te 0.000 0.000 0.343 1
# calculated density	8.6	g cm⁻³



Name the most stable of them. x.



w.
# TbDyTe, relaxed, DFT GGA-PBE
data_TbDyTe
_chemical_formula_sum 'Tb2 Dy2 Te2'
_symmetry_space_group_name_H-M 'P 1 21/m 1'
_symmetry_Int_Tables_number 11
_cell_length_a 6.228
_cell_length_b 3.975
_cell_length_c 7.831
_cell_angle_alpha 90.00
_cell_angle_beta 107.03
_cell_angle_gamma 90.00
loop_
_symmetry_equiv_pos_as_xyz
'x,y,z'
'-x,-y,-z'
'-x,y+1/2,-z'
'x,-y+1/2,z'
loop_
_atom_site_label
_atom_site_type_symbol
_atom_site_fract_x
_atom_site_fract_y
_atom_site_fract_z
_atom_site_occupancy
Tb1 Tb 0.168 0.250 0.391 1
Dy1 Dy 0.211 0.250 0.950 1
Te1 Te 0.374 0.750 0.707 1
# calculated density	8.0	g cm⁻³



x.
# TbDyTe, relaxed, DFT GGA-PBE
data_TbDyTe
_chemical_formula_sum 'Tb1 Dy1 Te1'
_symmetry_space_group_name_H-M 'P m m m'
_symmetry_Int_Tables_number 47
_cell_length_a 4.105
_cell_length_b 4.809
_cell_length_c 4.835
_cell_angle_alpha 90.00
_cell_angle_beta 90.00
_cell_angle_gamma 90.00
loop_
_symmetry_equiv_pos_as_xyz
'x,y,z'
'-x,-y,-z'
'-x,-y,z'
'x,y,-z'
'x,-y,-z'
'-x,y,z'
'-x,y,-z'
'x,-y,z'
loop_
_atom_site_label
_atom_site_type_symbol
_atom_site_fract_x
_atom_site_fract_y
_atom_site_fract_z
_atom_site_occupancy
Tb1 Tb 0.000 0.000 0.000 1
Dy1 Dy 0.000 0.500 0.500 1
Te1 Te 0.500 0.000 0.500 1
# calculated density	7.8	g cm⁻³



Name the most stable of them. w.



w.
# Tb2DyTe4, relaxed, DFT GGA-PBE
data_Tb2DyTe4
_chemical_formula_sum 'Tb8 Dy4 Te16'
_symmetry_space_group_name_H-M 'C m c m'
_symmetry_Int_Tables_number 63
_symmetry_space_group_name_Hall '-C 2c 2'
_cell_length_a 4.240
_cell_length_b 14.361
_cell_length_c 14.995
_cell_angle_alpha 90.00
_cell_angle_beta 90.00
_cell_angle_gamma 90.00
loop_
_atom_site_label
_atom_site_type_symbol
_atom_site_fract_x
_atom_site_fract_y
_atom_site_fract_z
_atom_site_occupancy
Tb1 Tb 0.000 0.131 0.070 1
Dy1 Dy 0.000 0.372 0.250 1
Te1 Te 0.000 0.030 0.250 1
Te2 Te 0.000 0.221 0.623 1
Te3 Te 0.000 0.500 0.000 1
# calculated density	7.2	g cm⁻³



x.
# Tb2DyTe4, relaxed, DFT GGA-PBE
data_Tb2DyTe4
_chemical_formula_sum 'Tb4 Dy2 Te8'
_symmetry_space_group_name_H-M 'C 1 2/m 1'
_symmetry_Int_Tables_number 12
_cell_length_a 16.309
_cell_length_b 4.352
_cell_length_c 7.592
_cell_angle_alpha 90.00
_cell_angle_beta 117.42
_cell_angle_gamma 90.00
loop_
_symmetry_equiv_pos_as_xyz
'x,y,z'
'-x,-y,-z'
'-x,y,-z'
'x,-y,z'
'x+1/2,y+1/2,z'
'-x+1/2,-y+1/2,-z'
'-x+1/2,y+1/2,-z'
'x+1/2,-y+1/2,z'
loop_
_atom_site_label
_atom_site_type_symbol
_atom_site_fract_x
_atom_site_fract_y
_atom_site_fract_z
_atom_site_occupancy
Tb1 Tb 0.244 0.000 0.230 1
Dy1 Dy 0.000 0.500 0.500 1
Te1 Te 0.120 0.500 0.951 1
Te2 Te 0.128 0.000 0.466 1
# calculated density	6.9	g cm⁻³



Name the most stable of them. x.



w.
# TbDyTe2, relaxed, DFT GGA-PBE
data_TbDyTe2
_chemical_formula_sum 'Tb3 Dy3 Te6'
_symmetry_space_group_name_H-M 'R -3 m'
_symmetry_Int_Tables_number 166
_symmetry_space_group_name_Hall '-R 3 2"'
_cell_length_a 4.3753
_cell_length_b 4.3753
_cell_length_c 21.2264
_cell_angle_alpha 90.00
_cell_angle_beta 90.00
_cell_angle_gamma 120.00
loop_
_atom_site_label
_atom_site_type_symbol
_atom_site_fract_x
_atom_site_fract_y
_atom_site_fract_z
_atom_site_occupancy
Tb1 Tb 0.0000 0.0000 0.0000 1
Dy1 Dy 0.0000 0.0000 0.5000 1
Te1 Te 0.0000 0.0000 0.2494 1
# calculated density	8.2	g cm⁻³



x.
# TbDyTe2, relaxed, DFT GGA-PBE
data_TbDyTe2
_chemical_formula_sum 'Tb2 Dy2 Te4'
_symmetry_space_group_name_H-M 'P 1 21 1'
_symmetry_Int_Tables_number 4
_cell_length_a 4.470
_cell_length_b 6.871
_cell_length_c 9.754
_cell_angle_alpha 90.00
_cell_angle_beta 90.03
_cell_angle_gamma 90.00
loop_
_symmetry_equiv_pos_as_xyz
'x,y,z'
'-x,y+1/2,-z'
loop_
_atom_site_label
_atom_site_type_symbol
_atom_site_fract_x
_atom_site_fract_y
_atom_site_fract_z
_atom_site_occupancy
Tb1 Tb 0.249 0.000 0.085 1
Dy1 Dy 0.251 0.156 0.676 1
Te1 Te 0.249 0.913 0.410 1
Te2 Te 0.252 0.777 0.824 1
# calculated density	6.4	g cm⁻³



Name the most stable of them. w.